# 1
The following is a DFT calculation (PBE-GGA) of crystalline In3SnHgBi at its relaxed geometry.

Geometry as extended XYZ:
```
12
Lattice="-3.799 1.194 0.975 -3.186 -5.799 -5.311 1.523 -3.354 10.036" Properties=species:S:1:pos:R:3 pbc="T T T"
Sn -4.516 -6.266 3.003
Bi -2.757 -3.741 -1.851
Hg -0.374 -2.460 5.864
Sn -0.946 -1.694 2.698
In -3.658 -1.757 0.827
Bi -2.705 -4.219 7.552
In -2.217 -4.655 1.370
In -1.804 -6.203 4.873
In -5.616 -4.534 -3.402
In -3.245 -3.305 4.330
Hg -5.088 -5.500 -0.163
In 0.155 -3.426 9.103
```

Computed properties:
Its calculated volume is 336 Å³/cell. The formation energy is 0.0466 eV per atom. As for the symmetry: P2_1/m, No. 11. The total magnetization comes out at 0.00 Bohr magnetons per cell.

=====

# 2
The following is a DFT calculation (PBE-GGA) of crystalline InSnHg2Bi at its relaxed geometry.

Geometry as extended XYZ:
```
10
Lattice="-0.317 -2.646 -4.590 -4.042 -4.949 3.132 -6.587 3.559 -1.597" Properties=species:S:1:pos:R:3 pbc="T T T"
In -4.943 -2.673 0.348
Bi -7.741 0.228 -1.131
Sn -2.669 -1.661 -3.461
In -6.003 -1.363 -3.403
Hg -10.097 -3.601 -1.830
Sn -8.277 -2.374 0.406
Hg -0.849 -0.435 -1.225
Bi -3.205 -4.264 -1.923
Hg -6.740 -3.925 -1.875
Hg -4.206 -0.111 -1.180
```

Computed properties:
Its calculated volume is 288 Å³/cell. The formation energy is 0.0488 eV per atom. As for the symmetry: P2_1/m, No. 11. The total magnetization comes out at 0.00 Bohr magnetons per cell.

=====

# 3
The following is a DFT calculation (PBE-GGA) of crystalline In2SnHg2Bi at its relaxed geometry.

Geometry as extended XYZ:
```
12
Lattice="-0.358 3.744 2.115 0.058 -3.379 5.992 11.358 0.870 0.380" Properties=species:S:1:pos:R:3 pbc="T T T"
Sn 5.593 -0.802 2.366
Bi 3.734 -0.076 5.168
Hg 11.145 2.317 2.184
In 3.484 1.669 2.036
In 1.729 -2.827 5.296
In 7.562 0.290 5.167
In 9.702 -0.524 2.568
Hg -0.100 -0.236 4.802
Hg 1.878 -1.126 2.311
Sn 5.837 -2.475 5.369
Hg 9.554 -2.230 5.563
Bi 7.315 1.890 2.293
```

Computed properties:
Its calculated volume is 338 Å³/cell. The formation energy is 0.0317 eV per atom. As for the symmetry: Pmc2_1, No. 26. The total magnetization comes out at 0.00 Bohr magnetons per cell.

=====

# 4
The following is a DFT calculation (PBE-GGA) of crystalline In5SnHg2Bi at its relaxed geometry.

Geometry as extended XYZ:
```
18
Lattice="-5.019 -5.493 2.219 5.900 -4.897 1.223 0.152 7.944 6.422" Properties=species:S:1:pos:R:3 pbc="T T T"
In 1.191 -6.996 4.851
In 0.025 -1.840 3.196
Sn 3.247 -1.074 4.683
Bi 0.296 1.374 4.072
Sn -2.213 -1.372 5.182
In 0.440 -5.195 1.721
In -2.275 1.478 6.205
Bi 0.737 -3.821 5.793
In 1.008 -0.606 6.669
In -0.157 4.549 5.014
Hg 3.277 -6.300 1.888
Hg -0.657 -7.865 2.702
In 3.309 -3.924 3.661
Hg 1.538 -2.526 0.741
In -2.093 -4.912 4.387
Hg -2.396 -4.090 1.555
In 0.000 0.000 0.000
In 3.126 2.465 5.478
```

Computed properties:
Its calculated volume is 519 Å³/cell. The formation energy is 0.0647 eV per atom. As for the symmetry: I4/mcm, No. 140. The total magnetization comes out at 0.00 Bohr magnetons per cell.